Run P
CeHf2 | PBE | optimized geometry

Unit cell a=3.1539 b=3.1539 c=7.6430 alpha=101.91 beta=101.91 gamma=90.00
Fractional positions:
Hf 0.6769 0.6769 0.3539
Hf 0.3231 0.3231 0.6461
Ce 0.0000 0.0000 0.0000

Calculated values
The calculation puts the calculated volume at 24.24 A^3/atom. The calculation puts the density of states at the Fermi level at 1.943 states/eV per atom. Its space-group type is I4/mmm (139).

Run Q
CeHf2 | PBE | optimized geometry

Unit cell a=5.9807 b=5.9807 c=5.9807 alpha=60.00 beta=60.00 gamma=60.00
Fractional positions:
Hf 0.1250 0.6250 0.6250
Hf 0.6250 0.1250 0.6250
Hf 0.6250 0.6250 0.6250
Hf 0.6250 0.6250 0.1250
Ce 0.0000 0.0000 0.0000
Ce 0.2500 0.2500 0.2500

Calculated values
The calculation puts the calculated volume at 25.21 A^3/atom. The calculation puts the density of states at the Fermi level at 3.199 states/eV per atom. Its space-group type is Fd-3m (227).

Quick ranking, most stable first: run P, run Q.